[1]
A relaxed Cr2Ni9Sb crystal, computed with PBE-GGA.

Results
magnetic moment	4.61	Bohr magnetons per cell
ΔE_f (raw)	-0.5	eV/f.u.

a = 3.6184 Å, b = 3.6184 Å, c = 10.8135 Å
α = 90.00°, β = 90.00°, γ = 90.00°
Space group P4/mmm (No. 123)
Inequivalent atoms, fractional coordinates:
Cr 0.0000 0.0000 0.1599 (multiplicity 2)
Ni 0.0000 0.5000 0.0000 (multiplicity 2)
Ni 0.0000 0.5000 0.3212 (multiplicity 4)
Ni 0.5000 0.5000 0.1613 (multiplicity 2)
Ni 0.5000 0.5000 0.5000 (multiplicity 1)
Sb 0.0000 0.0000 0.5000 (multiplicity 1)

[2]
A relaxed Cr2NiSb2 crystal, computed with PBE-GGA.

Results
ΔE to the lowest computed polymorph	36.5	kJ/mol of atoms
magnetic moment	11.05	Bohr magnetons per cell
ΔE_f (raw)	3.7	eV/f.u.

a = 4.0464 Å, b = 4.0464 Å, c = 12.1663 Å
α = 90.00°, β = 90.00°, γ = 90.00°
Space group I4/mmm (No. 139)
Inequivalent atoms, fractional coordinates:
Cr 0.0000 0.5000 0.2500 (multiplicity 4)
Ni 0.0000 0.0000 0.0000 (multiplicity 2)
Sb 0.0000 0.0000 0.3857 (multiplicity 4)

[3]
A relaxed CrNi3Sb4 crystal, computed with PBE-GGA.

Results
magnetic moment	3.12	Bohr magnetons per cell
ΔE_f (raw)	-1.4	eV/f.u.

a = 4.0057 Å, b = 4.0057 Å, c = 10.5395 Å
α = 90.00°, β = 90.00°, γ = 120.00°
Space group P-3m1 (No. 164)
Inequivalent atoms, fractional coordinates:
Cr 0.0000 0.0000 0.0000 (multiplicity 1)
Ni 0.0000 0.0000 0.2543 (multiplicity 2)
Ni 0.0000 0.0000 0.5000 (multiplicity 1)
Sb 0.3333 0.6667 0.1393 (multiplicity 2)
Sb 0.3333 0.6667 0.6206 (multiplicity 2)

[4]
A relaxed CrNi6Sb crystal, computed with PBE-GGA.

Results
ΔE to the lowest computed polymorph	0.0	kJ/mol of atoms
magnetic moment	2.52	Bohr magnetons per cell
ΔE_f (raw)	-0.5	eV/f.u.

a = 3.6493 Å, b = 3.6493 Å, c = 7.2642 Å
α = 90.00°, β = 90.00°, γ = 90.00°
Space group P4/mmm (No. 123)
Inequivalent atoms, fractional coordinates:
Cr 0.0000 0.0000 0.0000 (multiplicity 1)
Ni 0.0000 0.5000 0.2358 (multiplicity 4)
Ni 0.5000 0.5000 0.0000 (multiplicity 1)
Ni 0.5000 0.5000 0.5000 (multiplicity 1)
Sb 0.0000 0.0000 0.5000 (multiplicity 1)

[5]
A relaxed CrNiSb2 crystal, computed with PBE-GGA.

Results
ΔE to the lowest computed polymorph	37.3	kJ/mol of atoms
magnetic moment	15.28	Bohr magnetons per cell
ΔE_f (raw)	1.3	eV/f.u.

a = 7.3423 Å, b = 7.3423 Å, c = 6.0617 Å
α = 90.00°, β = 90.00°, γ = 90.00°
Space group I-42d (No. 122)
Inequivalent atoms, fractional coordinates:
Cr 0.0000 0.0000 0.0000 (multiplicity 4)
Ni 0.0000 0.0000 0.5000 (multiplicity 4)
Sb 0.2147 0.2500 0.6250 (multiplicity 8)

[6]
A relaxed CrNiSb2 crystal, computed with PBE-GGA.

Results
ΔE to the lowest computed polymorph	28.0	kJ/mol of atoms
magnetic moment	3.25	Bohr magnetons per cell
ΔE_f (raw)	0.9	eV/f.u.

a = 4.7317 Å, b = 4.7317 Å, c = 3.2628 Å
α = 90.00°, β = 90.00°, γ = 90.00°
Space group P4/mmm (No. 123)
Inequivalent atoms, fractional coordinates:
Cr 0.0000 0.0000 0.0000 (multiplicity 1)
Ni 0.5000 0.5000 0.0000 (multiplicity 1)
Sb 0.0000 0.5000 0.5000 (multiplicity 2)

[7]
A relaxed CrNiSb4 crystal, computed with PBE-GGA.

Results
ΔE to the lowest computed polymorph	85.9	kJ/mol of atoms
magnetic moment	13.91	Bohr magnetons per cell
ΔE_f (raw)	5.4	eV/f.u.

a = 8.6070 Å, b = 8.6070 Å, c = 8.6070 Å
α = 90.00°, β = 90.00°, γ = 90.00°
Space group F-43m (No. 216)
Inequivalent atoms, fractional coordinates:
Cr 0.0000 0.0000 0.0000 (multiplicity 4)
Ni 0.2500 0.2500 0.7500 (multiplicity 4)
Sb 0.1245 0.1245 0.3755 (multiplicity 16)

[8]
A relaxed CrNiSb2 crystal, computed with PBE-GGA.

Results
ΔE to the lowest computed polymorph	61.2	kJ/mol of atoms
magnetic moment	16.13	Bohr magnetons per cell
ΔE_f (raw)	2.3	eV/f.u.

a = 6.8156 Å, b = 6.8156 Å, c = 6.8156 Å
α = 90.00°, β = 90.00°, γ = 90.00°
Space group F-43m (No. 216)
Inequivalent atoms, fractional coordinates:
Cr 0.0000 0.0000 0.0000 (multiplicity 4)
Ni 0.2500 0.2500 0.2500 (multiplicity 4)
Sb 0.0000 0.0000 0.5000 (multiplicity 4)
Sb 0.2500 0.2500 0.7500 (multiplicity 4)

[9]
A relaxed CrNiSb2 crystal, computed with PBE-GGA.

Results
ΔE to the lowest computed polymorph	15.9	kJ/mol of atoms
magnetic moment	2.22	Bohr magnetons per cell
ΔE_f (raw)	0.4	eV/f.u.

a = 3.6844 Å, b = 3.6844 Å, c = 5.4027 Å
α = 90.00°, β = 90.00°, γ = 90.00°
Space group P4mm (No. 99)
Inequivalent atoms, fractional coordinates:
Cr 0.0000 0.0000 0.0000 (multiplicity 1)
Ni 0.5000 0.5000 0.3483 (multiplicity 1)
Sb 0.0000 0.0000 0.4823 (multiplicity 1)
Sb 0.5000 0.5000 0.8622 (multiplicity 1)

[10]
A relaxed CrNi15Sb4 crystal, computed with PBE-GGA.

Results
magnetic moment	3.15	Bohr magnetons per cell
ΔE_f (raw)	-2.2	eV/f.u.

a = 3.7098 Å, b = 3.7098 Å, c = 18.3677 Å
α = 90.00°, β = 90.00°, γ = 90.00°
Space group P4/mmm (No. 123)
Inequivalent atoms, fractional coordinates:
Cr 0.0000 0.0000 0.0000 (multiplicity 1)
Ni 0.0000 0.5000 0.0916 (multiplicity 4)
Ni 0.0000 0.5000 0.2962 (multiplicity 4)
Ni 0.0000 0.5000 0.5000 (multiplicity 2)
Ni 0.5000 0.5000 0.0000 (multiplicity 1)
Ni 0.5000 0.5000 0.1957 (multiplicity 2)
Ni 0.5000 0.5000 0.3985 (multiplicity 2)
Sb 0.0000 0.0000 0.1926 (multiplicity 2)
Sb 0.0000 0.0000 0.3976 (multiplicity 2)

[11]
A relaxed Cr2Ni2Sb crystal, computed with PBE-GGA.

Results
ΔE to the lowest computed polymorph	0.0	kJ/mol of atoms
magnetic moment	12.02	Bohr magnetons per cell
ΔE_f (raw)	1.2	eV/f.u.

a = 6.8381 Å, b = 6.8381 Å, c = 3.0695 Å
α = 90.00°, β = 90.00°, γ = 90.00°
Space group P4/mbm (No. 127)
Inequivalent atoms, fractional coordinates:
Cr 0.1595 0.3405 0.0000 (multiplicity 4)
Ni 0.1302 0.6302 0.5000 (multiplicity 4)
Sb 0.0000 0.0000 0.5000 (multiplicity 2)

[12]
A relaxed Sc2CrNiSb crystal, computed with PBE-GGA.

Results
magnetic moment	4.40	Bohr magnetons per cell
ΔE_f (raw)	3.1	eV/f.u.

a = 5.3560 Å, b = 5.3560 Å, c = 4.6118 Å
α = 90.00°, β = 90.00°, γ = 90.00°
Space group P4/mmm (No. 123)
Inequivalent atoms, fractional coordinates:
Sc 0.0000 0.5000 0.0000 (multiplicity 2)
Cr 0.0000 0.0000 0.5000 (multiplicity 1)
Ni 0.5000 0.5000 0.5000 (multiplicity 1)
Sb 0.5000 0.5000 0.0000 (multiplicity 1)

[13]
A relaxed CrNi7Sn2Sb2 crystal, computed with PBE-GGA.

Results
magnetic moment	3.48	Bohr magnetons per cell
ΔE_f (raw)	-0.9	eV/f.u.

a = 3.5794 Å, b = 3.5794 Å, c = 30.9754 Å
α = 90.00°, β = 90.00°, γ = 90.00°
Space group I4/mmm (No. 139)
Inequivalent atoms, fractional coordinates:
Cr 0.0000 0.0000 0.0000 (multiplicity 2)
Ni 0.0000 0.0000 0.3045 (multiplicity 4)
Ni 0.0000 0.0000 0.5000 (multiplicity 2)
Ni 0.0000 0.5000 0.0564 (multiplicity 8)
Sn 0.0000 0.0000 0.2152 (multiplicity 4)
Sb 0.0000 0.0000 0.3850 (multiplicity 4)

[14]
A relaxed ScCr2Ni2 crystal, computed with PBE-GGA.

Results
ΔE to the lowest computed polymorph	11.3	kJ/mol of atoms
magnetic moment	0.00	Bohr magnetons per cell
ΔH_f (0 K)	0.1923	eV/atom

a = 7.1655 Å, b = 7.1655 Å, c = 2.5448 Å
α = 90.00°, β = 90.00°, γ = 90.00°
Space group P4/mbm (No. 127)
Inequivalent atoms, fractional coordinates:
Sc 0.0000 0.0000 0.0000 (multiplicity 2)
Cr 0.1728 0.3272 0.5000 (multiplicity 4)
Ni 0.1219 0.6219 0.0000 (multiplicity 4)

[15]
A relaxed ScCrNi2 crystal, computed with PBE-GGA.

Results
ΔE to the lowest computed polymorph	44.9	kJ/mol of atoms
magnetic moment	3.87	Bohr magnetons per cell
ΔH_f (0 K)	0.3061	eV/atom

a = 2.7568 Å, b = 2.7568 Å, c = 24.9259 Å
α = 90.00°, β = 90.00°, γ = 120.00°
Space group R3m (No. 160, hexagonal axes)
Inequivalent atoms, fractional coordinates:
Sc 0.0000 0.0000 0.0000 (multiplicity 3)
Cr 0.0000 0.0000 0.2410 (multiplicity 3)
Ni 0.0000 0.0000 0.4994 (multiplicity 3)
Ni 0.0000 0.0000 0.7532 (multiplicity 3)

[16]
A relaxed ScCr3Ni crystal, computed with PBE-GGA.

Results
ΔE to the lowest computed polymorph	112.0	kJ/mol of atoms
magnetic moment	0.00	Bohr magnetons per cell
ΔH_f (0 K)	2.0740	eV/atom

a = 4.2306 Å, b = 4.2306 Å, c = 4.2306 Å
α = 90.00°, β = 90.00°, γ = 90.00°
Space group Pm-3m (No. 221)
Inequivalent atoms, fractional coordinates:
Sc 0.0000 0.0000 0.0000 (multiplicity 1)
Cr 0.0000 0.0000 0.5000 (multiplicity 3)
Ni 0.5000 0.5000 0.5000 (multiplicity 1)

[17]
A relaxed ScCrNi2 crystal, computed with PBE-GGA.

Results
ΔE to the lowest computed polymorph	17.3	kJ/mol of atoms
magnetic moment	0.00	Bohr magnetons per cell
ΔH_f (0 K)	0.0201	eV/atom

a = 3.0255 Å, b = 3.0255 Å, c = 5.9296 Å
α = 90.00°, β = 90.00°, γ = 90.00°
Space group P4mm (No. 99)
Inequivalent atoms, fractional coordinates:
Sc 0.0000 0.0000 0.0000 (multiplicity 1)
Cr 0.5000 0.5000 0.3123 (multiplicity 1)
Ni 0.0000 0.0000 0.5054 (multiplicity 1)
Ni 0.5000 0.5000 0.7274 (multiplicity 1)

[18]
A relaxed Sc2CrNi crystal, computed with PBE-GGA.

Results
magnetic moment	2.59	Bohr magnetons per cell
ΔH_f (0 K)	-0.1009	eV/atom

a = 3.2247 Å, b = 3.2511 Å, c = 6.4337 Å
α = 90.00°, β = 90.00°, γ = 90.00°
Space group Pmmm (No. 47)
Inequivalent atoms, fractional coordinates:
Sc 0.0000 0.0000 0.2410 (multiplicity 2)
Cr 0.5000 0.5000 0.5000 (multiplicity 1)
Ni 0.5000 0.5000 0.0000 (multiplicity 1)

[19]
A relaxed Sc3CrNi crystal, computed with PBE-GGA.

Results
ΔE to the lowest computed polymorph	0.0	kJ/mol of atoms
magnetic moment	3.90	Bohr magnetons per cell
ΔH_f (0 K)	0.2557	eV/atom

a = 4.8581 Å, b = 4.8581 Å, c = 4.8581 Å
α = 90.00°, β = 90.00°, γ = 90.00°
Space group Pm-3m (No. 221)
Inequivalent atoms, fractional coordinates:
Sc 0.0000 0.0000 0.5000 (multiplicity 3)
Cr 0.5000 0.5000 0.5000 (multiplicity 1)
Ni 0.0000 0.0000 0.0000 (multiplicity 1)

[20]
A relaxed ScCr2Ni2 crystal, computed with PBE-GGA.

Results
ΔE to the lowest computed polymorph	0.0	kJ/mol of atoms
magnetic moment	0.00	Bohr magnetons per cell
ΔH_f (0 K)	0.0750	eV/atom

a = 3.3873 Å, b = 3.3873 Å, c = 11.9546 Å
α = 90.00°, β = 90.00°, γ = 90.00°
Space group I4/mmm (No. 139)
Inequivalent atoms, fractional coordinates:
Sc 0.0000 0.0000 0.0000 (multiplicity 2)
Cr 0.0000 0.5000 0.2500 (multiplicity 4)
Ni 0.0000 0.0000 0.4004 (multiplicity 4)

Calculated total energy in order - -6.33, -5.91, -5.60, -6.12, -5.59, -5.68, -4.42, -5.34, -5.81, -5.75, -6.75, -5.81, -5.61, -7.24, -6.57, -6.12, -6.86, -7.12, -6.62, -7.35 eV/atom